1.
The following is a PBE calculation of a relaxed TaCoSb2 crystal, from Alexandria.

Cell and atoms, written as CIF:
```
data_TaCoSb2
_cell_length_a 4.639
_cell_length_b 4.639
_cell_length_c 3.394
_cell_angle_alpha 90.00
_cell_angle_beta 90.00
_cell_angle_gamma 90.00
_symmetry_space_group_name_H-M 'P 1'
_symmetry_Int_Tables_number 1
loop_
_symmetry_equiv_pos_as_xyz
'x,y,z'
loop_
_atom_site_label
_atom_site_fract_x
_atom_site_fract_y
_atom_site_fract_z
Ta1 0.000 0.000 0.000
Co1 0.500 0.500 0.000
Sb1 0.000 0.500 0.500
Sb2 0.500 0.000 0.500
```

Output
As for the space group: P4/mmm. The calculation puts the magnetization at 0.000 μB per atom. The raw total energy comes out at -6.56 eV/atom.

***

2.
The following is a PBE calculation of a relaxed LiPHF crystal, from Alexandria.

Cell and atoms, written as CIF:
```
data_LiPHF
_cell_length_a 2.618
_cell_length_b 2.682
_cell_length_c 7.738
_cell_angle_alpha 80.57
_cell_angle_beta 81.86
_cell_angle_gamma 89.99
_symmetry_space_group_name_H-M 'P 1'
_symmetry_Int_Tables_number 1
loop_
_symmetry_equiv_pos_as_xyz
'x,y,z'
loop_
_atom_site_label
_atom_site_fract_x
_atom_site_fract_y
_atom_site_fract_z
Li1 0.000 0.000 0.000
P1 0.875 0.784 0.452
H1 0.793 0.694 0.641
F1 0.503 0.503 0.994
```

Output
As for the offset from the most stable computed form: 0.000 eV/atom. As for the space group: P1. The calculation puts the magnetization at 0.000 μB per atom.

***

3.
The following is a PBE calculation of a relaxed Nd2PaHg crystal, from Alexandria.

Cell and atoms, written as CIF:
```
data_Nd2PaHg
_cell_length_a 3.540
_cell_length_b 3.540
_cell_length_c 9.171
_cell_angle_alpha 90.00
_cell_angle_beta 90.00
_cell_angle_gamma 90.00
_symmetry_space_group_name_H-M 'P 1'
_symmetry_Int_Tables_number 1
loop_
_symmetry_equiv_pos_as_xyz
'x,y,z'
loop_
_atom_site_label
_atom_site_fract_x
_atom_site_fract_y
_atom_site_fract_z
Nd1 0.000 0.000 0.238
Nd2 0.000 0.000 0.762
Pa1 0.500 0.500 0.500
Hg1 0.500 0.500 0.000
```

Output
As for the offset from the most stable computed form: 0.000 eV/atom. As for the space group: P4/mmm. The calculation puts the magnetization at 0.028 μB per atom. The formation energy from the elements is -84 meV/atom.

***

Which value of magnetization does entry 1 give? 0.000 μB per atom

***

Number 1 is which compound? TaCoSb2

***

Number 3 is which compound? Nd2PaHg